1.
Crystalline BaCu4W at its relaxed geometry. Source: the Alexandria database, functional PBE-GGA.

a b c (Å): 7.4067 7.4067 7.4067
angles (deg): 90.00 90.00 90.00
Last column: nearest neighbours and their distance in Å.
Space group F-43m (No. 216)
Asymmetric unit:
Ba 0.0000 0.0000 0.0000 [4 per cell]  12 Cu 3.08, 4 W 3.21
Cu 0.1223 0.1223 0.6223 [16 per cell]  6 Cu 2.56-2.68
W 0.2500 0.2500 0.2500 [4 per cell]  12 Cu 3.06, 4 Ba 3.21

## Properties
Formation enthalpy at 0 K, eV/f.u.: 4.43
DOS at the Fermi energy, states/eV/f.u.: 4.637

=====

2.
Crystalline VCr2Br at its relaxed geometry. Source: the Alexandria database, functional PBE-GGA.

a b c (Å): 3.9620 3.9620 17.8626
angles (deg): 90.00 90.00 90.00
Last column: nearest neighbours and their distance in Å.
Space group I-42d (No. 122)
Asymmetric unit:
V 0.0000 0.0000 0.0000 [4 per cell]  4 Cr 2.63, 4 Br 2.80
Cr 0.2471 0.2500 0.1250 [8 per cell]  2 V 2.63, 2 Br 2.64, 4 Cr 2.79-2.82
Br 0.0000 0.0000 0.5000 [4 per cell]  4 Cr 2.64, 4 V 2.80

## Properties
DOS at the Fermi energy, states/eV/f.u.: 5.600
Relative energy among the computed polymorphs, eV per formula unit: 0.37
Raw formation energy, eV per atom: 1.021

=====

3.
Crystalline Ca2InGa3Ir4 at its relaxed geometry. Source: the Alexandria database, functional PBE-GGA.

a b c (Å): 4.2943 4.2943 10.5597
angles (deg): 90.00 90.00 90.00
Last column: nearest neighbours and their distance in Å.
Space group P-4m2 (No. 115)
Asymmetric unit:
Ca 0.0000 0.5000 0.2297 [2 per cell]  8 Ir 3.24-3.32, 6 Ga 3.24-3.57, 2 In 3.57
In 0.0000 0.0000 0.5000 [1 per cell]  4 Ir 2.63
Ga 0.0000 0.5000 0.8779 [2 per cell]  5 Ir 2.48-2.50
Ga 0.5000 0.5000 0.5000 [1 per cell]  4 Ir 2.63
Ir 0.0000 0.0000 0.0000 [1 per cell]  4 Ga 2.50
Ir 0.0000 0.5000 0.6430 [2 per cell]  3 Ga 2.48-2.63, 2 In 2.63
Ir 0.5000 0.5000 0.0000 [1 per cell]  4 Ga 2.50

## Properties
Formation enthalpy at 0 K, eV/f.u.: -4.92
DOS at the Fermi energy, states/eV/f.u.: 4.269

=====

4.
Crystalline PmSm2Tm5 at its relaxed geometry. Source: the Alexandria database, functional PBE-GGA.

a b c (Å): 16.2030 9.8132 6.4421
angles (deg): 90.00 97.62 90.00
Last column: nearest neighbours and their distance in Å.
Space group C2/c (No. 15)
Asymmetric unit:
Pm 0.2500 0.2500 0.0000 [4 per cell]  2 Sm 3.00
Sm 0.0763 0.2453 0.1131 [8 per cell]  1 Pm 3.00, 2 Tm 3.17-3.32, 1 Sm 3.22
Tm 0.0000 0.4439 0.7500 [4 per cell]  4 Sm 3.17-3.45, 2 Tm 3.40
Tm 0.0995 0.0910 0.6421 [8 per cell]  4 Sm 3.32-3.70, 1 Pm 3.49, 5 Tm 3.62-3.68
Tm 0.1949 0.4108 0.5195 [8 per cell]  1 Sm 3.44, 2 Pm 3.45-3.48, 7 Tm 3.62-3.68

## Properties
Formation enthalpy at 0 K, eV/f.u.: 1.44
DOS at the Fermi energy, states/eV/f.u.: 11.905
Relative energy among the computed polymorphs, eV per formula unit: 1.26

=====

5.
Crystalline Pm3Ag3Au at its relaxed geometry. Source: the Alexandria database, functional PBE-GGA.

a b c (Å): 3.6966 4.7279 20.3515
angles (deg): 90.00 90.00 90.00
Last column: nearest neighbours and their distance in Å.
Space group Imm2 (No. 44)
Asymmetric unit:
Pm 0.0000 0.0000 0.0000 [2 per cell]  7 Ag 3.12-3.32
Pm 0.0000 0.0000 0.3777 [2 per cell]  2 Au 3.07, 4 Ag 3.11
Pm 0.0000 0.5000 0.1968 [2 per cell]  4 Au 3.25, 8 Ag 3.35-3.57
Ag 0.0000 0.0000 0.5465 [2 per cell]  2 Ag 2.83, 4 Pm 3.15
Ag 0.0000 0.0000 0.8371 [2 per cell]  2 Au 2.86, 4 Pm 3.11
Ag 0.0000 0.5000 0.6233 [2 per cell]  1 Au 2.73, 2 Ag 2.83
Au 0.0000 0.5000 0.7576 [2 per cell]  3 Ag 2.73-2.86

## Properties
Formation enthalpy at 0 K, eV/f.u.: -2.61
DOS at the Fermi energy, states/eV/f.u.: 5.632

=====

6.
Crystalline BiAsRh3 at its relaxed geometry. Source: the Alexandria database, functional PBE-GGA.

a b c (Å): 4.6210 4.6210 4.6210
angles (deg): 90.00 90.00 90.00
Last column: nearest neighbours and their distance in Å.
Space group Pm-3m (No. 221)
Asymmetric unit:
Bi 0.0000 0.0000 0.0000 [1 per cell]  12 Rh 3.27
As 0.5000 0.5000 0.5000 [1 per cell]  6 Rh 2.31
Rh 0.0000 0.5000 0.5000 [3 per cell]  2 As 2.31

## Properties
Formation enthalpy at 0 K, eV/f.u.: 0.92
DOS at the Fermi energy, states/eV/f.u.: 10.698
Relative energy among the computed polymorphs, eV per formula unit: 0.00

=====

7.
Crystalline Ce3Nd4DySe8 at its relaxed geometry. Source: the Alexandria database, functional PBE-GGA.

a b c (Å): 8.4025 8.4025 20.5789
angles (deg): 90.00 90.00 120.00
Last column: nearest neighbours and their distance in Å.
Space group R-3m (No. 166, hexagonal axes)
Asymmetric unit:
Ce 0.0000 0.5000 0.0000 [9 per cell]  6 Se 2.96
Nd 0.0000 0.0000 0.5000 [3 per cell]  6 Se 3.03
Nd 0.0000 0.5000 0.5000 [9 per cell]  6 Se 2.98
Dy 0.0000 0.0000 0.0000 [3 per cell]  6 Se 2.91
Se 0.0000 0.0000 0.2508 [6 per cell]  3 Ce 2.96, 3 Nd 2.98
Se 0.0052 0.5026 0.7478 [18 per cell]  1 Dy 2.91, 2 Ce 2.96, 3 Nd 2.98-3.03

## Properties
DOS at the Fermi energy, states/eV/f.u.: 21.915
Raw formation energy, eV per atom: -1.825

=====

8.
Crystalline Mg2TlSn3 at its relaxed geometry. Source: the Alexandria database, functional PBE-GGA.

a b c (Å): 3.3900 3.3900 13.4938
angles (deg): 90.00 90.00 90.00
Last column: nearest neighbours and their distance in Å.
Space group P4/mmm (No. 123)
Asymmetric unit:
Mg 0.0000 0.0000 0.1558 [2 per cell]  8 Sn 3.15-3.19, 4 Mg 3.39
Tl 0.0000 0.0000 0.5000 [1 per cell]  4 Tl 3.39, 8 Sn 3.53
Sn 0.5000 0.5000 0.0000 [1 per cell]  8 Mg 3.19, 4 Sn 3.39
Sn 0.5000 0.5000 0.3078 [2 per cell]  4 Mg 3.15, 4 Sn 3.39, 4 Tl 3.53

## Properties
Formation enthalpy at 0 K, eV/f.u.: -0.46
DOS at the Fermi energy, states/eV/f.u.: 1.962